# 1
Computed, not measured: crystalline RbHN2 at its relaxed geometry at the PBE-GGA level of DFT.

Values from the calculation:
Crystal system: tetragonal
Final energy (eV per atom): -3.555
Size of the total moment (μB/f.u.): 0.0
Density (g/cm3): 4.067
SG: No. 141

Geometry as POSCAR:
```
RbHN2
1.0
5.116 0.000 0.000
0.000 5.116 0.000
0.000 0.000 7.144
Rb H N
4 4 8
direct
0.000 0.250 0.375
0.000 0.750 0.625
0.500 0.250 0.125
0.500 0.750 0.875
0.000 0.250 0.875
0.000 0.750 0.125
0.500 0.250 0.625
0.500 0.750 0.375
0.000 0.000 0.000
0.000 0.500 0.000
0.250 0.250 0.750
0.250 0.750 0.250
0.500 0.000 0.500
0.500 0.500 0.500
0.750 0.250 0.750
0.750 0.750 0.250
```

# 2
Computed, not measured: crystalline RbHN2 at its relaxed geometry at the PBE-GGA level of DFT.

Values from the calculation:
Crystal system: cubic
Final energy (eV per atom): -2.816
Size of the total moment (μB/f.u.): 6.0
Density (g/cm3): 2.128
SG: No. 225

Geometry as POSCAR:
```
RbHN2
1.0
7.097 0.000 0.000
0.000 7.097 0.000
0.000 0.000 7.097
Rb H N
4 4 8
direct
0.000 0.000 0.000
0.000 0.500 0.500
0.500 0.000 0.500
0.500 0.500 0.000
0.000 0.000 0.500
0.000 0.500 0.000
0.500 0.000 0.000
0.500 0.500 0.500
0.250 0.250 0.250
0.250 0.250 0.750
0.250 0.750 0.250
0.250 0.750 0.750
0.750 0.250 0.250
0.750 0.250 0.750
0.750 0.750 0.250
0.750 0.750 0.750
```

# 3
Computed, not measured: crystalline RbH6N3 at its relaxed geometry at the PBE-GGA level of DFT.

Values from the calculation:
Crystal system: monoclinic
Final energy (eV per atom): -4.548
Size of the total moment (μB/f.u.): 2.0
Density (g/cm3): 1.766
SG: No. 8

Geometry as POSCAR:
```
RbH6N3
1.0
3.477 -4.178 0.000
3.477 4.178 0.000
-0.246 0.000 4.323
Rb H N
1 6 3
direct
0.000 0.000 0.000
0.146 0.587 0.441
0.382 0.721 0.664
0.437 0.437 0.062
0.587 0.146 0.441
0.617 0.617 0.310
0.721 0.382 0.664
0.258 0.760 0.492
0.585 0.585 0.074
0.760 0.258 0.492
```

# 4
Computed, not measured: crystalline Rb3H8N2 at its relaxed geometry at the PBE-GGA level of DFT.

Values from the calculation:
Crystal system: trigonal
Final energy (eV per atom): -3.565
Size of the total moment (μB/f.u.): 0.0
Density (g/cm3): 1.195
SG: No. 166

Geometry as POSCAR:
```
Rb3H8N2
1.0
3.839 2.216 7.963
-3.839 2.216 7.963
0.000 -4.432 7.963
Rb H N
3 8 2
direct
0.000 0.000 0.000
0.208 0.208 0.208
0.792 0.792 0.792
0.351 0.351 0.575
0.351 0.575 0.351
0.367 0.367 0.367
0.425 0.649 0.649
0.575 0.351 0.351
0.633 0.633 0.633
0.649 0.425 0.649
0.649 0.649 0.425
0.411 0.411 0.411
0.589 0.589 0.589
```

# 5
Computed, not measured: crystalline RbH7N2 at its relaxed geometry at the PBE-GGA level of DFT.

Values from the calculation:
Crystal system: orthorhombic
Final energy (eV per atom): -3.941
Size of the total moment (μB/f.u.): 0.0
Density (g/cm3): 1.753
SG: No. 65

Geometry as POSCAR:
```
RbH7N2
1.0
2.222 -5.994 0.000
2.222 5.994 0.000
0.000 0.000 4.286
Rb H N
1 7 2
direct
0.000 0.000 0.000
0.159 0.476 0.500
0.364 0.636 0.000
0.476 0.159 0.500
0.500 0.500 0.500
0.524 0.841 0.500
0.636 0.364 0.000
0.841 0.524 0.500
0.392 0.608 0.500
0.608 0.392 0.500
```

# 6
Computed, not measured: crystalline Rb2H4N at its relaxed geometry at the PBE-GGA level of DFT.

Values from the calculation:
Crystal system: monoclinic
Final energy (eV per atom): -3.603
Size of the total moment (μB/f.u.): 0.0
Density (g/cm3): 1.874
SG: No. 11

Geometry as POSCAR:
```
Rb2H4N
1.0
8.759 0.000 0.000
0.000 4.237 0.000
-3.734 0.000 9.023
Rb H N
4 8 2
direct
0.208 0.250 0.439
0.228 0.750 0.037
0.772 0.250 0.963
0.792 0.750 0.561
0.014 0.250 0.808
0.144 0.555 0.721
0.144 0.945 0.721
0.308 0.750 0.722
0.692 0.250 0.278
0.856 0.055 0.279
0.856 0.445 0.279
0.986 0.750 0.192
0.180 0.750 0.677
0.820 0.250 0.323
```

# 7
Computed, not measured: crystalline RbHN at its relaxed geometry at the PBE-GGA level of DFT.

Values from the calculation:
Crystal system: triclinic
Final energy (eV per atom): -3.892
Size of the total moment (μB/f.u.): 1.0
Density (g/cm3): 2.908
SG: No. 1

Geometry as POSCAR:
```
RbHN
1.0
3.769 0.000 0.000
-0.028 3.974 0.000
-0.116 -1.094 3.830
Rb H N
1 1 1
direct
0.000 0.000 0.000
0.497 0.531 0.470
0.498 0.365 0.633
```

# 8
Computed, not measured: crystalline RbHRuN2 at its relaxed geometry at the PBE-GGA level of DFT.

Values from the calculation:
Crystal system: tetragonal
Final energy (eV per atom): -5.239
Size of the total moment (μB/f.u.): 0.4
Density (g/cm3): 3.421
SG: No. 123

Geometry as POSCAR:
```
RbHRuN2
1.0
3.774 0.000 0.000
0.000 3.774 0.000
0.000 0.000 7.345
Rb H Ru N
1 1 1 2
direct
0.000 0.000 0.000
0.500 0.500 0.000
0.000 0.000 0.500
0.000 0.500 0.500
0.500 0.000 0.500
```

# 9
Computed, not measured: crystalline RbHS2N at its relaxed geometry at the PBE-GGA level of DFT.

Values from the calculation:
Crystal system: tetragonal
Final energy (eV per atom): -2.209
Size of the total moment (μB/f.u.): 1.2
Density (g/cm3): 0.960
SG: No. 123

Geometry as POSCAR:
```
RbHS2N
1.0
6.689 0.000 0.000
0.000 6.689 0.000
0.000 0.000 6.361
Rb H S N
1 1 2 1
direct
0.000 0.000 0.000
0.500 0.500 0.500
0.000 0.500 0.000
0.500 0.000 0.000
0.000 0.000 0.500
```

# 10
Computed, not measured: crystalline RbHS2N at its relaxed geometry at the PBE-GGA level of DFT.

Values from the calculation:
Crystal system: tetragonal
Final energy (eV per atom): -3.027
Size of the total moment (μB/f.u.): 0.4
Density (g/cm3): 2.924
SG: No. 123

Geometry as POSCAR:
```
RbHS2N
1.0
3.889 0.000 0.000
0.000 3.889 0.000
0.000 0.000 6.181
Rb H S N
1 1 2 1
direct
0.000 0.000 0.000
0.500 0.500 0.500
0.000 0.500 0.500
0.500 0.000 0.500
0.500 0.500 0.000
```

# 11
Computed, not measured: crystalline Rb4H2S2N at its relaxed geometry at the PBE-GGA level of DFT.

Values from the calculation:
Crystal system: monoclinic
Final energy (eV per atom): -3.456
Size of the total moment (μB/f.u.): 1.1
Density (g/cm3): 2.734
SG: No. 12

Geometry as POSCAR:
```
Rb4H2S2N
1.0
5.053 -4.375 0.000
5.053 4.375 0.000
-0.309 0.000 5.799
Rb H S N
4 2 2 1
direct
0.091 0.674 0.748
0.326 0.909 0.252
0.674 0.091 0.748
0.909 0.326 0.252
0.399 0.399 0.999
0.601 0.601 0.001
0.178 0.178 0.769
0.822 0.822 0.231
0.500 0.500 0.000
```

# 12
Computed, not measured: crystalline RbH6SN2 at its relaxed geometry at the PBE-GGA level of DFT.

Values from the calculation:
Crystal system: monoclinic
Final energy (eV per atom): -4.599
Size of the total moment (μB/f.u.): 0.2
Density (g/cm3): 1.922
SG: No. 15

Geometry as POSCAR:
```
RbH6SN2
1.0
3.215 -9.622 0.000
3.215 9.622 0.000
-2.849 0.000 4.233
Rb H S N
2 12 2 4
direct
0.078 0.922 0.750
0.922 0.078 0.250
0.004 0.391 0.932
0.231 0.483 0.945
0.233 0.642 0.906
0.358 0.767 0.594
0.391 0.004 0.432
0.483 0.231 0.445
0.517 0.769 0.555
0.609 0.996 0.568
0.642 0.233 0.406
0.767 0.358 0.094
0.769 0.517 0.055
0.996 0.609 0.068
0.484 0.516 0.250
0.516 0.484 0.750
0.111 0.458 0.832
0.458 0.111 0.332
0.542 0.889 0.668
0.889 0.542 0.168
```